(1)
Compound: PmYMgIn
Source: OQMD via LeMat-Bulk
Functional: GGA-PBE
Structure: optimized geometry

POSCAR file:
```
PmYMgIn
1.0
7.602 0.000 0.000
0.000 7.602 0.000
0.000 0.000 7.602
Pm Y Mg In
4 4 4 4
Cartesian
0.000 0.000 0.000
0.000 3.801 3.801
3.801 0.000 3.801
3.801 3.801 0.000
0.000 0.000 3.801
0.000 3.801 0.000
3.801 0.000 0.000
3.801 3.801 3.801
1.900 1.900 5.701
1.900 5.701 1.900
5.701 1.900 1.900
5.701 5.701 5.701
1.900 1.900 1.900
1.900 5.701 5.701
5.701 1.900 5.701
5.701 5.701 1.900
```

Summary:
Magnetic moment = 0.01 μB per cell
Space group = F-43m (216)
Uncorrected energy = -4.22 eV per atom



(2)
Compound: Sr2Al4NiIr
Source: OQMD via LeMat-Bulk
Functional: GGA-PBE
Structure: optimized geometry

POSCAR file:
```
Sr2Al4NiIr
1.0
7.271 0.000 0.000
0.000 4.170 0.000
0.000 0.000 11.356
Sr Al Ni Ir
4 8 2 2
Cartesian
0.000 0.000 0.000
0.000 2.085 5.678
3.635 0.000 1.108
3.635 2.085 6.787
1.409 0.000 8.308
1.409 2.085 2.630
2.296 0.000 4.200
2.296 2.085 9.878
4.974 0.000 4.200
4.974 2.085 9.878
5.862 0.000 8.308
5.862 2.085 2.630
3.635 0.000 9.426
3.635 2.085 3.747
0.000 0.000 3.068
0.000 2.085 8.746
```

Summary:
Magnetic moment = 0.00 μB per cell
Space group = Amm2 (38)
Uncorrected energy = -4.63 eV per atom



(3)
Compound: NaHgSbPd
Source: OQMD via LeMat-Bulk
Functional: GGA-PBE
Structure: optimized geometry

POSCAR file:
```
NaHgSbPd
1.0
6.969 0.000 0.000
0.000 6.969 0.000
0.000 0.000 6.969
Na Hg Sb Pd
4 4 4 4
Cartesian
0.000 0.000 0.000
0.000 3.485 3.485
3.485 0.000 3.485
3.485 3.485 0.000
1.742 1.742 5.227
1.742 5.227 1.742
5.227 1.742 1.742
5.227 5.227 5.227
0.000 0.000 3.485
0.000 3.485 0.000
3.485 0.000 0.000
3.485 3.485 3.485
1.742 1.742 1.742
1.742 5.227 5.227
5.227 1.742 5.227
5.227 5.227 1.742
```

Summary:
Space group = F-43m (216)
Uncorrected energy = -2.89 eV per atom



(4)
Compound: LaAlHg2H
Source: OQMD via LeMat-Bulk
Functional: GGA-PBE
Structure: optimized geometry

POSCAR file:
```
LaAlHg2H
1.0
4.511 0.000 0.000
0.000 4.511 0.000
0.000 0.000 10.632
La Al Hg H
2 2 4 2
Cartesian
0.000 0.000 0.000
2.256 2.256 5.316
0.000 0.000 3.985
2.256 2.256 9.301
0.000 2.256 2.483
0.000 2.256 7.799
2.256 0.000 2.483
2.256 0.000 7.799
0.000 0.000 5.670
2.256 2.256 0.354
```

Summary:
Magnetic moment = 0.02 μB per cell
Space group = I4mm (107)
Uncorrected energy = -2.64 eV per atom



(5)
Compound: RbAuNO
Source: OQMD via LeMat-Bulk
Functional: GGA-PBE
Structure: optimized geometry

POSCAR file:
```
RbAuNO
1.0
3.735 0.000 0.000
0.000 6.686 0.000
0.000 0.000 6.588
Rb Au N O
2 2 2 2
Cartesian
0.000 1.150 0.000
0.000 5.536 3.294
1.868 2.107 3.264
1.868 4.579 6.558
0.000 2.373 3.026
0.000 4.312 6.320
1.868 0.587 4.589
1.868 6.099 1.295
```

Summary:
Space group = Pmc2_1 (26)
Uncorrected energy = -4.03 eV per atom



(6)
Compound: Li2MgTl2CdPd2
Source: OQMD via LeMat-Bulk
Functional: GGA-PBE
Structure: optimized geometry

POSCAR file:
```
Li2MgTl2CdPd2
1.0
4.669 0.000 0.000
0.000 4.669 0.000
0.000 0.000 6.609
Li Mg Tl Cd Pd
2 1 2 1 2
Cartesian
0.000 2.334 1.634
2.334 0.000 4.976
0.000 0.000 3.305
0.000 0.000 0.000
2.334 2.334 3.305
2.334 2.334 0.000
0.000 2.334 4.901
2.334 0.000 1.708
```

Summary:
Space group = P-4m2 (115)
Uncorrected energy = -3.03 eV per atom



(7)
Compound: Li2Sc2InGaPd2
Source: OQMD via LeMat-Bulk
Functional: GGA-PBE
Structure: optimized geometry

POSCAR file:
```
Li2Sc2InGaPd2
1.0
4.558 0.000 0.000
0.000 4.558 0.000
0.000 0.000 6.486
Li Sc In Ga Pd
2 2 1 1 2
Cartesian
0.000 2.279 1.538
2.279 0.000 4.948
0.000 0.000 0.000
2.279 2.279 3.243
0.000 0.000 3.243
2.279 2.279 0.000
0.000 2.279 4.947
2.279 0.000 1.539
```

Summary:
Magnetic moment = 0.02 μB per cell
Space group = P-4m2 (115)
Uncorrected energy = -4.72 eV per atom



(8)
Compound: NdHfAu6
Source: OQMD via LeMat-Bulk
Functional: GGA-PBE
Structure: optimized geometry

POSCAR file:
```
NdHfAu6
1.0
4.961 0.000 0.000
0.000 6.275 0.000
0.000 0.000 5.076
Nd Hf Au
1 1 6
Cartesian
0.000 0.000 0.000
2.481 3.137 1.618
0.000 1.706 2.535
0.000 3.137 0.052
0.000 4.569 2.535
2.481 0.000 1.783
2.481 1.670 4.193
2.481 4.604 4.193
```

Summary:
Magnetic moment = 0.00 μB per cell
Space group = Pmm2 (25)
Energy of formation from the pure elements = -0.563 eV per atom



(9)
Compound: TmZrAg6
Source: OQMD via LeMat-Bulk
Functional: GGA-PBE
Structure: optimized geometry

POSCAR file:
```
TmZrAg6
1.0
4.930 0.000 0.000
0.000 6.107 0.000
0.000 0.000 5.063
Tm Zr Ag
1 1 6
Cartesian
0.000 0.000 0.000
2.465 3.053 3.479
0.000 1.586 2.562
0.000 3.053 0.051
0.000 4.521 2.562
2.465 0.000 3.371
2.465 1.539 0.921
2.465 4.568 0.921
```

Summary:
Magnetic moment = 0.02 μB per cell
Space group = Pmm2 (25)
Energy of formation from the pure elements = -0.159 eV per atom



(10)
Compound: AcErLu
Source: OQMD via LeMat-Bulk
Functional: GGA-PBE
Structure: optimized geometry

POSCAR file:
```
AcErLu
1.0
7.886 0.000 0.000
0.000 7.886 0.000
0.000 0.000 7.886
Ac Er Lu
4 4 4
Cartesian
0.000 0.000 0.000
0.000 3.943 3.943
3.943 0.000 3.943
3.943 3.943 0.000
0.000 0.000 3.943
0.000 3.943 0.000
3.943 0.000 0.000
3.943 3.943 3.943
1.972 1.972 1.972
1.972 5.915 5.915
5.915 1.972 5.915
5.915 5.915 1.972
```

Summary:
Magnetic moment = 0.04 μB per cell
Space group = F-43m (216)
Energy of formation from the pure elements = 0.687 eV per atom



(11)
Compound: Tm2CdCu2
Source: OQMD via LeMat-Bulk
Functional: GGA-PBE
Structure: optimized geometry

POSCAR file:
```
Tm2CdCu2
1.0
7.377 0.000 0.000
0.000 7.377 0.000
0.000 0.000 3.686
Tm Cd Cu
4 2 4
Cartesian
1.281 2.408 0.000
2.408 6.096 0.000
4.970 1.281 0.000
6.096 4.970 0.000
0.000 0.000 1.843
3.689 3.689 1.843
0.891 4.580 1.843
2.797 0.891 1.843
4.580 6.486 1.843
6.486 2.797 1.843
```

Summary:
Magnetic moment = 0.02 μB per cell
Space group = P4/mbm (127)
Energy of formation from the pure elements = -0.319 eV per atom



(12)
Compound: LiDyHgSe3
Source: OQMD via LeMat-Bulk
Functional: GGA-PBE
Structure: optimized geometry

POSCAR file:
```
LiDyHgSe3
1.0
11.074 0.000 0.000
0.000 4.139 0.000
0.000 0.000 13.203
Li Dy Hg Se
4 4 4 12
Cartesian
1.671 1.035 1.003
3.866 3.104 7.604
7.208 1.035 5.599
9.403 3.104 12.200
1.253 1.035 10.041
4.284 3.104 3.440
6.790 1.035 9.763
9.821 3.104 3.162
1.481 1.035 5.119
4.056 3.104 11.720
7.018 1.035 1.483
9.593 3.104 8.084
1.060 3.104 8.059
1.530 3.104 12.126
1.540 3.104 2.711
3.997 1.035 9.313
4.007 1.035 5.525
4.477 1.035 1.458
6.596 3.104 11.745
7.067 3.104 7.678
7.077 3.104 3.890
9.534 1.035 10.492
9.544 1.035 1.077
10.014 1.035 5.144
```

Summary:
Magnetic moment = 0.01 μB per cell
Space group = Pnma (62)
Uncorrected energy = -4.00 eV per atom